Below is crystalline Nd3Sm6Er2Pu at its relaxed geometry, with properties calculated at the PBE-GGA level.

Results
For the density of states at the Fermi level, the calculation gives 50.552 states/eV per cell. The value obtained for the calculated total energy is -5.377 eV/atom. As for the volume: 795 Å³ per cell. The value obtained for the total magnetization is 14.2 μB/cell.

CIF file:
```
data_Nd3Sm6Er2Pu
_cell_length_a 9.551
_cell_length_b 17.973
_cell_length_c 5.862
_cell_angle_alpha 90.00
_cell_angle_beta 127.79
_cell_angle_gamma 90.00
_symmetry_space_group_name_H-M 'C 1 2/m 1'
_symmetry_Int_Tables_number 12
_symmetry_space_group_name_Hall '-C 2y'
loop_
_atom_site_label
_atom_site_type_symbol
_atom_site_fract_x
_atom_site_fract_y
_atom_site_fract_z
Nd1 Nd 0.000 0.000 0.000
Nd2 Nd 0.000 0.311 0.000
Sm1 Sm 0.231 0.348 0.731
Sm2 Sm 0.233 0.500 0.233
Er1 Er 0.000 0.174 0.500
Pu1 Pu 0.000 0.500 0.500
```

Below is crystalline Tb6Nd3Er2Pu at its relaxed geometry, with properties calculated at the PBE-GGA level.

Results
For the density of states at the Fermi level, the calculation gives 47.379 states/eV per cell. The value obtained for the calculated total energy is -5.416 eV/atom. As for the volume: 769 Å³ per cell. The value obtained for the total magnetization is 13.2 μB/cell.

CIF file:
```
data_Tb6Nd3Er2Pu
_cell_length_a 6.184
_cell_length_b 10.715
_cell_length_c 11.791
_cell_angle_alpha 90.00
_cell_angle_beta 100.12
_cell_angle_gamma 90.00
_symmetry_space_group_name_H-M 'C 1 2/m 1'
_symmetry_Int_Tables_number 12
_symmetry_space_group_name_Hall '-C 2y'
loop_
_atom_site_label
_atom_site_type_symbol
_atom_site_fract_x
_atom_site_fract_y
_atom_site_fract_z
Tb1 Tb 0.246 0.165 0.244
Tb2 Tb 0.248 0.000 0.756
Nd1 Nd 0.000 0.167 0.500
Nd2 Nd 0.000 0.500 0.500
Er1 Er 0.000 0.333 0.000
Pu1 Pu 0.000 0.000 0.000
```

Below is crystalline Nd2Er3PuTe6 at its relaxed geometry, with properties calculated at the PBE-GGA level.

Results
For the density of states at the Fermi level, the calculation gives 26.679 states/eV per cell. The value obtained for the calculated total energy is -5.983 eV/atom. As for the volume: 721 Å³ per cell. The value obtained for the formation energy without anion corrections is -1.283 eV/atom. The value obtained for the total magnetization is 12.3 μB/cell.

CIF file:
```
data_Nd2Er3PuTe6
_cell_length_a 19.246
_cell_length_b 4.357
_cell_length_c 8.875
_cell_angle_alpha 90.00
_cell_angle_beta 104.30
_cell_angle_gamma 90.00
_symmetry_space_group_name_H-M 'C 1 2/m 1'
_symmetry_Int_Tables_number 12
_symmetry_space_group_name_Hall '-C 2y'
loop_
_atom_site_label
_atom_site_type_symbol
_atom_site_fract_x
_atom_site_fract_y
_atom_site_fract_z
Nd1 Nd 0.167 0.000 0.334
Er1 Er 0.000 0.500 0.500
Er2 Er 0.168 0.000 0.836
Pu1 Pu 0.000 0.500 0.000
Te1 Te 0.004 0.000 0.746
Te2 Te 0.163 0.500 0.593
Te3 Te 0.168 0.500 0.075
```

Below is crystalline Nd2ErPu3Te6 at its relaxed geometry, with properties calculated at the PBE-GGA level.

Results
For the density of states at the Fermi level, the calculation gives 66.575 states/eV per cell. The value obtained for the calculated total energy is -7.571 eV/atom. As for the volume: 740 Å³ per cell. The value obtained for the formation energy without anion corrections is -1.243 eV/atom. The value obtained for the total magnetization is 35.6 μB/cell.

CIF file:
```
data_Nd2ErPu3Te6
_cell_length_a 19.387
_cell_length_b 4.415
_cell_length_c 8.909
_cell_angle_alpha 90.00
_cell_angle_beta 103.87
_cell_angle_gamma 90.00
_symmetry_space_group_name_H-M 'C 1 2/m 1'
_symmetry_Int_Tables_number 12
_symmetry_space_group_name_Hall '-C 2y'
loop_
_atom_site_label
_atom_site_type_symbol
_atom_site_fract_x
_atom_site_fract_y
_atom_site_fract_z
Nd1 Nd 0.168 0.000 0.337
Er1 Er 0.000 0.500 0.000
Pu1 Pu 0.000 0.500 0.500
Pu2 Pu 0.169 0.000 0.835
Te1 Te 0.002 0.000 0.758
Te2 Te 0.163 0.500 0.079
Te3 Te 0.165 0.500 0.589
```

Below is crystalline Nd3ErPu2Te6 at its relaxed geometry, with properties calculated at the PBE-GGA level.

Results
For the density of states at the Fermi level, the calculation gives 47.774 states/eV per cell. The value obtained for the calculated total energy is -6.828 eV/atom. As for the volume: 745 Å³ per cell. The value obtained for the formation energy without anion corrections is -1.296 eV/atom. The value obtained for the total magnetization is 23.8 μB/cell.

CIF file:
```
data_Nd3ErPu2Te6
_cell_length_a 19.420
_cell_length_b 4.420
_cell_length_c 8.938
_cell_angle_alpha 90.00
_cell_angle_beta 103.85
_cell_angle_gamma 90.00
_symmetry_space_group_name_H-M 'C 1 2/m 1'
_symmetry_Int_Tables_number 12
_symmetry_space_group_name_Hall '-C 2y'
loop_
_atom_site_label
_atom_site_type_symbol
_atom_site_fract_x
_atom_site_fract_y
_atom_site_fract_z
Nd1 Nd 0.000 0.000 0.000
Nd2 Nd 0.169 0.500 0.334
Er1 Er 0.000 0.000 0.500
Pu1 Pu 0.166 0.500 0.833
Te1 Te 0.000 0.500 0.260
Te2 Te 0.162 0.000 0.585
Te3 Te 0.168 0.000 0.080
```

Below is crystalline Nd3Er3PuTe8 at its relaxed geometry, with properties calculated at the PBE-GGA level.

Results
For the density of states at the Fermi level, the calculation gives 60.747 states/eV per cell. The value obtained for the calculated total energy is -5.837 eV/atom. As for the volume: 1444 Å³ per cell. The value obtained for the formation energy without anion corrections is -1.340 eV/atom. The value obtained for the total magnetization is 18.6 μB/cell.

CIF file:
```
data_Nd3Er3PuTe8
_cell_length_a 8.7728
_cell_length_b 8.7728
_cell_length_c 21.6667
_cell_angle_alpha 90.00
_cell_angle_beta 90.00
_cell_angle_gamma 120.00
_symmetry_space_group_name_H-M 'R -3 m'
_symmetry_Int_Tables_number 166
_symmetry_space_group_name_Hall '-R 3 2"'
loop_
_atom_site_label
_atom_site_type_symbol
_atom_site_fract_x
_atom_site_fract_y
_atom_site_fract_z
Nd1 Nd 0.0000 0.5000 0.0000
Er1 Er 0.0000 0.5000 0.5000
Pu1 Pu 0.0000 0.0000 0.5000
Te1 Te 0.0000 0.0000 0.2453
Te2 Te 0.0149 0.5074 0.7511
```

Below is crystalline Nd3Er2PuTe6 at its relaxed geometry, with properties calculated at the PBE-GGA level.

Results
For the density of states at the Fermi level, the calculation gives 24.422 states/eV per cell. The value obtained for the calculated total energy is -6.034 eV/atom. As for the volume: 736 Å³ per cell. The value obtained for the formation energy without anion corrections is -1.317 eV/atom. The value obtained for the total magnetization is 12.1 μB/cell.

CIF file:
```
data_Nd3Er2PuTe6
_cell_length_a 19.388
_cell_length_b 4.383
_cell_length_c 8.934
_cell_angle_alpha 90.00
_cell_angle_beta 104.24
_cell_angle_gamma 90.00
_symmetry_space_group_name_H-M 'C 1 2/m 1'
_symmetry_Int_Tables_number 12
_symmetry_space_group_name_Hall '-C 2y'
loop_
_atom_site_label
_atom_site_type_symbol
_atom_site_fract_x
_atom_site_fract_y
_atom_site_fract_z
Nd1 Nd 0.000 0.000 0.000
Nd2 Nd 0.164 0.500 0.334
Er1 Er 0.163 0.500 0.827
Pu1 Pu 0.000 0.000 0.500
Te1 Te 0.003 0.500 0.747
Te2 Te 0.167 0.000 0.592
Te3 Te 0.172 0.000 0.074
```

Below is crystalline NdErPuTh at its relaxed geometry, with properties calculated at the PBE-GGA level.

Results
For the density of states at the Fermi level, the calculation gives 55.262 states/eV per cell. The value obtained for the calculated total energy is -7.555 eV/atom. As for the volume: 500 Å³ per cell. The value obtained for the total magnetization is 32.1 μB/cell.

CIF file:
```
data_NdErPuTh
_cell_length_a 7.936
_cell_length_b 7.936
_cell_length_c 7.936
_cell_angle_alpha 90.00
_cell_angle_beta 90.00
_cell_angle_gamma 90.00
_symmetry_space_group_name_H-M 'F -4 3 m'
_symmetry_Int_Tables_number 216
_symmetry_space_group_name_Hall 'F -4 2 3'
loop_
_atom_site_label
_atom_site_type_symbol
_atom_site_fract_x
_atom_site_fract_y
_atom_site_fract_z
Nd1 Nd 0.000 0.000 0.000
Er1 Er 0.250 0.250 0.750
Pu1 Pu 0.250 0.250 0.250
Th1 Th 0.000 0.000 0.500
```